1.
The following is a PBE calculation of crystalline Zr3InTe at its relaxed geometry, from Alexandria via LeMat-Bulk.

Geometry as CIF:
```
data_Zr3InTe
_space_group_name_H-M_alt 'P m -3 m'
_space_group_IT_number 221
_space_group_name_Hall '-P 4 2 3'
_cell_length_a 5.264
_cell_length_b 5.264
_cell_length_c 5.264
_cell_angle_alpha 90.00
_cell_angle_beta 90.00
_cell_angle_gamma 90.00
loop_
_atom_site_label
_atom_site_type_symbol
_atom_site_fract_x
_atom_site_fract_y
_atom_site_fract_z
Zr1 Zr 0.000 0.000 0.500
In1 In 0.500 0.500 0.500
Te1 Te 0.000 0.000 0.000
```

The density of states at the Fermi level comes out at 7.9 states/eV/f.u. For the total magnetic moment, the calculation gives 0.000 Bohr magnetons per cell. Its total energy is -29.16 eV per cell.

2.
The following is a PBE calculation of crystalline Ca12Nd5Gd3 at its relaxed geometry, from Alexandria via LeMat-Bulk.

Geometry as CIF:
```
data_Ca12Nd5Gd3
_space_group_name_H-M_alt 'I a -3 d'
_space_group_IT_number 230
_space_group_name_Hall '-I 4bd 2c 3'
_cell_length_a 19.894
_cell_length_b 19.894
_cell_length_c 19.894
_cell_angle_alpha 90.00
_cell_angle_beta 90.00
_cell_angle_gamma 90.00
loop_
_atom_site_label
_atom_site_type_symbol
_atom_site_fract_x
_atom_site_fract_y
_atom_site_fract_z
Ca1 Ca 0.009 0.081 0.648
Nd1 Nd 0.000 0.000 0.000
Nd2 Nd 0.000 0.250 0.375
Gd1 Gd 0.000 0.250 0.125
```

The density of states at the Fermi level comes out at 45.6 states/eV/f.u. For the total magnetic moment, the calculation gives 169.750 Bohr magnetons per cell. The value obtained for the formation energy is 94.0 kJ/mol of atoms.